Below is crystalline LiGdAsO at its relaxed geometry, with properties calculated at the PBE level.

* ρ: 5.9 g/cm3
* energy above the most stable polymorph in this dataset: 0.0 meV/atom
* electronic total energy: -47.2 eV for the cell shown

Cell and atoms, written as POSCAR:
```
LiGdAsO
1.0
3.817 0.000 0.000
0.000 3.817 0.000
0.000 0.000 9.827
As Gd Li O
2 2 2 2
Cartesian
0.000 1.909 3.091
1.909 0.000 6.736
1.909 0.000 1.179
0.000 1.909 8.648
0.000 0.000 4.913
1.909 1.909 4.913
0.000 0.000 0.000
1.909 1.909 0.000
```